1.
TbCuSi2Ni | GGA-PBE | relaxed

a = 5.6286 Å, b = 5.6286 Å, c = 5.6286 Å
α = 138.55°, β = 138.55°, γ = 60.06°
Element x y z (fractional)
Tb 0.0000 0.0000 0.0000
Cu 0.2500 0.7500 0.5000
Si 0.3779 0.3779 0.0000
Si 0.6221 0.6221 0.0000
Ni 0.7500 0.2500 0.5000

Values from the calculation:
**Spin magnetization**: 0.00 μB/cell
**Total DFT energy (no corrections)**: -5.7908 eV per atom
**E_form (uncorrected)**: -720.1 meV/atom

***

2.
Nd4Bi2Pb | GGA-PBE | relaxed

a = 8.7178 Å, b = 8.7178 Å, c = 8.7178 Å
α = 108.92°, β = 108.92°, γ = 110.57°
Element x y z (fractional)
Nd 0.1893 0.2499 0.5606
Nd 0.1893 0.6286 0.9394
Nd 0.2499 0.1893 0.0606
Nd 0.3714 0.8107 0.5606
Nd 0.6286 0.1893 0.4394
Nd 0.7501 0.8107 0.9394
Nd 0.8107 0.3714 0.0606
Nd 0.8107 0.7501 0.4394
Bi 0.0000 0.5000 0.5000
Bi 0.5000 0.0000 0.0000
Bi 0.5000 0.5000 0.0000
Bi 0.5000 0.5000 0.5000
Pb 0.1250 0.8750 0.2500
Pb 0.8750 0.1250 0.7500

Values from the calculation:
**Formation enthalpy at 0 K**: -0.581 eV per atom
**Spin magnetization**: 0.06 μB/cell
**Excess energy over the best structure of this formula in the dataset**: 0.171 eV per atom
**Total DFT energy (no corrections)**: -4.9438 eV per atom

***

3.
Dy3Cu2 | GGA-PBE | relaxed

a = 7.9970 Å, b = 7.9970 Å, c = 10.1839 Å
α = 90.85°, β = 90.85°, γ = 33.54°
Element x y z (fractional)
Dy 0.0000 0.0000 0.0000
Dy 0.0415 0.0415 0.3330
Dy 0.2724 0.2724 0.7253
Dy 0.3416 0.3416 0.0614
Dy 0.3890 0.3890 0.4149
Dy 0.6110 0.6110 0.5851
Dy 0.6584 0.6584 0.9386
Dy 0.7276 0.7276 0.2747
Dy 0.9585 0.9585 0.6670
Cu 0.1615 0.1615 0.1267
Cu 0.2086 0.2086 0.4638
Cu 0.4528 0.4528 0.8335
Cu 0.5472 0.5472 0.1665
Cu 0.7914 0.7914 0.5362
Cu 0.8385 0.8385 0.8733

Values from the calculation:
**Formation enthalpy at 0 K**: -0.132 eV per atom
**Spin magnetization**: 0.00 μB/cell
**Excess energy over the best structure of this formula in the dataset**: 0.062 eV per atom
**Total DFT energy (no corrections)**: -4.5316 eV per atom

***

4.
BaCa3Pt | GGA-PBE | relaxed

a = 5.6635 Å, b = 5.6635 Å, c = 11.5951 Å
α = 90.00°, β = 90.00°, γ = 120.00°
Element x y z (fractional)
Ba 0.3333 0.6667 0.2500
Ba 0.6667 0.3333 0.7500
Ca 0.0000 0.0000 0.2500
Ca 0.0000 0.0000 0.7500
Ca 0.3333 0.6667 0.5677
Ca 0.3333 0.6667 0.9323
Ca 0.6667 0.3333 0.0677
Ca 0.6667 0.3333 0.4323
Pt 0.0000 0.0000 0.0000
Pt 0.0000 0.0000 0.5000

Values from the calculation:
**Formation enthalpy at 0 K**: -0.210 eV per atom
**Spin magnetization**: 0.00 μB/cell
**Excess energy over the best structure of this formula in the dataset**: 0.251 eV per atom
**Total DFT energy (no corrections)**: -3.0040 eV per atom